Computed, not measured: a relaxed SrEuW4O12 crystal at the PBE with a Hubbard U level of DFT.

POSCAR file:
```
SrEuW4O12
1.0
7.887 0.000 0.000
0.000 3.964 4.012
0.000 -3.964 4.012
Sr Eu W O
1 1 4 12
Direct
0.000 0.000 0.000
0.500 0.501 0.501
0.250 0.000 0.500
0.250 0.500 0.000
0.750 0.000 0.500
0.750 0.500 0.000
0.000 0.542 0.978
0.000 0.978 0.542
0.224 0.233 0.233
0.255 0.272 0.731
0.255 0.731 0.272
0.276 0.764 0.764
0.500 0.039 0.467
0.500 0.467 0.039
0.724 0.764 0.764
0.745 0.272 0.731
0.745 0.731 0.272
0.776 0.233 0.233
```

Properties
Calculated density ... 7.72 g/cm3
E_tot ... -0.575 Ry/atom